## Cs2RbCr2O7 (GGA+U)

Data for an optimized crystal structure of Cs2RbCr2O7.

Its total energy is -5.9204 eV per atom.

a b c (Å): 6.718 6.718 8.789
angles (deg): 67.53 67.53 60.00
Last column: magnetic moment on the atom in μB.
Positions (direct):
Cs  0.763  0.763  0.710  0.00
Cs  0.237  0.237  0.290  0.00
O  0.777  0.172  0.295  -0.04
O  0.172  0.756  0.295  -0.04
O  0.223  0.244  0.705  -0.04
O  0.000  0.000  0.000  -0.08
O  0.244  0.828  0.705  -0.04
O  0.756  0.777  0.295  -0.04
O  0.828  0.223  0.705  -0.04
Cr  0.075  0.075  0.776  0.68
Cr  0.925  0.925  0.224  0.68
Rb  0.500  0.500  0.500  0.00